Entry 1:
SrCuSe4 | Alexandria | PBE | optimized geometry; crystal system = cubic; symmetry = No. 216; DOS at the Fermi energy = 2.55 states/eV/cell; energy relative to the elements, uncorrected = -0.134 eV/f.u.; calculated total energy = -19.85 eV for the cell shown
1.0
-3.804 -4.207 1.341
-4.380 1.097 3.684
-5.474 0.280 -1.982
Sr Cu Se
1 1 4
Direct
0.750 0.750 0.750 Sr
0.000 0.000 0.000 Cu
0.879 0.374 0.374 Se
0.374 0.374 0.879 Se
0.374 0.879 0.374 Se
0.374 0.374 0.374 Se

Entry 2:
MnNi2Te | Alexandria | PBE | optimized geometry; crystal system = orthorhombic; symmetry = No. 44; DOS at the Fermi energy = 2.53 states/eV/cell; energy relative to the elements, uncorrected = 0.315 eV/f.u.; calculated total energy = -23.56 eV for the cell shown
1.0
-1.844 1.460 4.145
-4.571 -1.289 0.400
3.956 -2.406 -1.129
Mn Ni Te
1 2 1
Direct
0.250 0.750 0.500 Mn
0.000 0.000 0.000 Ni
0.750 0.250 0.500 Ni
0.500 0.500 0.000 Te

> The highest DOS at the Fermi energy belongs to which entry?

SrCuSe4

> Which of these has the lowest DOS at the Fermi energy?

MnNi2Te

> What is the formula in the second record?

MnNi2Te

> Which formula does entry 1 have?

SrCuSe4